# 1
Density functional theory data (PBE) for crystalline ThBePb at its relaxed geometry.

abc: 6.9944 6.9944 6.9944
angles: 90.00 90.00 90.00
Atoms (fractional coordinates):
Th: 0.0000 0.0000 0.0000
Th: 0.0000 0.5000 0.5000
Th: 0.5000 0.0000 0.5000
Th: 0.5000 0.5000 0.0000
Be: 0.0000 0.0000 0.5000
Be: 0.0000 0.5000 0.0000
Be: 0.5000 0.0000 0.0000
Be: 0.5000 0.5000 0.5000
Pb: 0.2500 0.2500 0.7500
Pb: 0.2500 0.7500 0.2500
Pb: 0.7500 0.2500 0.2500
Pb: 0.7500 0.7500 0.7500

Calculated values
The space group is No. 216.



# 2
Density functional theory data (PBE) for crystalline Sc2OsO4 at its relaxed geometry.

abc: 6.3100 6.3100 6.3100
angles: 60.00 60.00 60.00
Atoms (fractional coordinates):
Sc: 0.0000 0.0000 0.0000
Sc: 0.0000 0.0000 0.5000
Sc: 0.0000 0.5000 0.0000
Sc: 0.5000 0.0000 0.0000
Os: 0.3750 0.3750 0.3750
Os: 0.6250 0.6250 0.6250
O: 0.2102 0.7633 0.7633
O: 0.2367 0.2367 0.2367
O: 0.2367 0.2367 0.7898
O: 0.2367 0.7898 0.2367
O: 0.7633 0.2102 0.7633
O: 0.7633 0.7633 0.2102
O: 0.7633 0.7633 0.7633
O: 0.7898 0.2367 0.2367

Calculated values
The space group is No. 227.



# 3
Density functional theory data (PBE) for crystalline TbDyGa4Pt2 at its relaxed geometry.

abc: 6.6986 4.3873 10.1724
angles: 90.00 90.00 90.00
Atoms (fractional coordinates):
Tb: 0.0000 0.0000 0.0000
Tb: 0.0000 0.5000 0.5000
Dy: 0.5000 0.0000 0.1709
Dy: 0.5000 0.5000 0.6709
Ga: 0.1978 0.0000 0.7154
Ga: 0.1978 0.5000 0.2154
Ga: 0.3027 0.0000 0.4549
Ga: 0.3027 0.5000 0.9549
Ga: 0.6973 0.0000 0.4549
Ga: 0.6973 0.5000 0.9549
Ga: 0.8022 0.0000 0.7154
Ga: 0.8022 0.5000 0.2154
Pt: 0.0000 0.0000 0.2887
Pt: 0.0000 0.5000 0.7887
Pt: 0.5000 0.0000 0.8820
Pt: 0.5000 0.5000 0.3820

Calculated values
The space group is No. 38.



The records above give, respectively, electronic total energy values of -4.2675; -8.2611; -5.1117 eV per atom.